A geometry-optimized Ca2IrPt structure, computed with PBE.

```
data_Ca2IrPt
_space_group_name_H-M_alt 'P 1'
_space_group_IT_number 1
_cell_length_a 4.828
_cell_length_b 4.828
_cell_length_c 4.828
_cell_angle_alpha 60.00
_cell_angle_beta 60.00
_cell_angle_gamma 60.00
loop_
_space_group_symop_operation_xyz
'x,y,z'
loop_
_atom_site_label
_atom_site_type_symbol
_atom_site_fract_x
_atom_site_fract_y
_atom_site_fract_z
Ca1 Ca 0.000 0.000 0.000
Ca2 Ca 0.250 0.250 0.250
Ir1 Ir 0.750 0.750 0.750
Pt1 Pt 0.500 0.500 0.500
```

Values from the calculation:
ρ in g/cm³: 9.76
Space-group type: F-43m, No. 216
E_form in eV/atom: -0.22

A geometry-optimized Co2MoHRu structure, computed with PBE.

```
data_Co2MoHRu
_space_group_name_H-M_alt 'P 1'
_space_group_IT_number 1
_cell_length_a 3.704
_cell_length_b 3.704
_cell_length_c 3.814
_cell_angle_alpha 90.00
_cell_angle_beta 90.00
_cell_angle_gamma 90.00
loop_
_space_group_symop_operation_xyz
'x,y,z'
loop_
_atom_site_label
_atom_site_type_symbol
_atom_site_fract_x
_atom_site_fract_y
_atom_site_fract_z
Co1 Co 0.000 0.500 0.000
Co2 Co 0.500 0.000 0.000
Mo1 Mo 0.000 0.000 0.500
H1 H 0.500 0.500 0.000
Ru1 Ru 0.500 0.500 0.500
```

Values from the calculation:
ρ in g/cm³: 10.02
Excess energy over the best structure of this formula in the dataset in kJ/mol of atoms: 0.0
Space-group type: P4/mmm, No. 123

A geometry-optimized Li15Zn2Cu2 structure, computed with PBE.

```
data_Li15Zn2Cu2
_space_group_name_H-M_alt 'P 1'
_space_group_IT_number 1
_cell_length_a 7.407
_cell_length_b 7.407
_cell_length_c 7.407
_cell_angle_alpha 64.44
_cell_angle_beta 64.44
_cell_angle_gamma 64.44
loop_
_space_group_symop_operation_xyz
'x,y,z'
loop_
_atom_site_label
_atom_site_type_symbol
_atom_site_fract_x
_atom_site_fract_y
_atom_site_fract_z
Li1 Li 0.000 0.000 0.500
Li2 Li 0.000 0.304 0.696
Li3 Li 0.000 0.500 0.000
Li4 Li 0.000 0.696 0.304
Li5 Li 0.194 0.561 0.561
Li6 Li 0.304 0.000 0.696
Li7 Li 0.304 0.696 0.000
Li8 Li 0.439 0.439 0.806
Li9 Li 0.439 0.806 0.439
Li10 Li 0.500 0.000 0.000
Li11 Li 0.561 0.194 0.561
Li12 Li 0.561 0.561 0.194
Li13 Li 0.696 0.000 0.304
Li14 Li 0.696 0.304 0.000
Li15 Li 0.806 0.439 0.439
Zn1 Zn 0.084 0.084 0.084
Zn2 Zn 0.916 0.916 0.916
Cu1 Cu 0.295 0.295 0.295
Cu2 Cu 0.705 0.705 0.705
```

Values from the calculation:
ρ in g/cm³: 1.91
Space-group type: R-3m, No. 166
E_form in eV/atom: 0.09

A geometry-optimized Ga2ReMo2 structure, computed with PBE.

```
data_Ga2ReMo2
_space_group_name_H-M_alt 'P 1'
_space_group_IT_number 1
_cell_length_a 6.736
_cell_length_b 6.736
_cell_length_c 3.342
_cell_angle_alpha 90.00
_cell_angle_beta 90.00
_cell_angle_gamma 90.00
loop_
_space_group_symop_operation_xyz
'x,y,z'
loop_
_atom_site_label
_atom_site_type_symbol
_atom_site_fract_x
_atom_site_fract_y
_atom_site_fract_z
Ga1 Ga 0.132 0.368 0.000
Ga2 Ga 0.368 0.868 0.000
Ga3 Ga 0.632 0.132 0.000
Ga4 Ga 0.868 0.632 0.000
Re1 Re 0.000 0.000 0.000
Re2 Re 0.500 0.500 0.000
Mo1 Mo 0.169 0.669 0.500
Mo2 Mo 0.331 0.169 0.500
Mo3 Mo 0.669 0.831 0.500
Mo4 Mo 0.831 0.331 0.500
```

Values from the calculation:
ρ in g/cm³: 11.33
Space-group type: P4/mbm, No. 127
E_form in eV/atom: 0.16

A geometry-optimized Er6Te2Pd structure, computed with PBE.

```
data_Er6Te2Pd
_space_group_name_H-M_alt 'P 1'
_space_group_IT_number 1
_cell_length_a 6.327
_cell_length_b 7.801
_cell_length_c 11.743
_cell_angle_alpha 90.00
_cell_angle_beta 120.42
_cell_angle_gamma 90.00
loop_
_space_group_symop_operation_xyz
'x,y,z'
loop_
_atom_site_label
_atom_site_type_symbol
_atom_site_fract_x
_atom_site_fract_y
_atom_site_fract_z
Er1 Er 0.084 0.202 0.457
Er2 Er 0.084 0.298 0.957
Er3 Er 0.324 0.670 0.456
Er4 Er 0.324 0.830 0.956
Er5 Er 0.385 0.029 0.243
Er6 Er 0.385 0.471 0.743
Er7 Er 0.615 0.529 0.257
Er8 Er 0.615 0.971 0.757
Er9 Er 0.676 0.170 0.044
Er10 Er 0.676 0.330 0.544
Er11 Er 0.916 0.702 0.043
Er12 Er 0.916 0.798 0.543
Te1 Te 0.139 0.114 0.741
Te2 Te 0.139 0.386 0.241
Te3 Te 0.861 0.614 0.759
Te4 Te 0.861 0.886 0.259
Pd1 Pd 0.500 0.000 0.500
Pd2 Pd 0.500 0.500 0.000
```

Values from the calculation:
ρ in g/cm³: 9.07
E_form (uncorrected) in eV per atom: -0.689
Space-group type: P2_1/c, No. 14

A geometry-optimized Mg2TlCu structure, computed with PBE.

```
data_Mg2TlCu
_space_group_name_H-M_alt 'P 1'
_space_group_IT_number 1
_cell_length_a 5.370
_cell_length_b 5.370
_cell_length_c 4.891
_cell_angle_alpha 109.38
_cell_angle_beta 109.38
_cell_angle_gamma 38.26
loop_
_space_group_symop_operation_xyz
'x,y,z'
loop_
_atom_site_label
_atom_site_type_symbol
_atom_site_fract_x
_atom_site_fract_y
_atom_site_fract_z
Mg1 Mg 0.000 0.000 0.000
Mg2 Mg 0.219 0.219 0.685
Tl1 Tl 0.769 0.769 0.236
Cu1 Cu 0.493 0.493 0.547
```

Values from the calculation:
ρ in g/cm³: 6.43
Space-group type: Cm, No. 8
E_form in eV/atom: 0.04

A geometry-optimized Cs3H5Pt structure, computed with PBE.

```
data_Cs3H5Pt
_space_group_name_H-M_alt 'P 1'
_space_group_IT_number 1
_cell_length_a 8.665
_cell_length_b 8.665
_cell_length_c 8.665
_cell_angle_alpha 123.03
_cell_angle_beta 123.03
_cell_angle_gamma 84.82
loop_
_space_group_symop_operation_xyz
'x,y,z'
loop_
_atom_site_label
_atom_site_type_symbol
_atom_site_fract_x
_atom_site_fract_y
_atom_site_fract_z
Cs1 Cs 0.191 0.691 0.882
Cs2 Cs 0.250 0.250 0.000
Cs3 Cs 0.309 0.191 0.500
Cs4 Cs 0.691 0.809 0.500
Cs5 Cs 0.750 0.750 0.000
Cs6 Cs 0.809 0.309 0.118
H1 H 0.000 0.000 0.000
H2 H 0.058 0.745 0.500
H3 H 0.245 0.558 0.500
H4 H 0.255 0.755 0.312
H5 H 0.442 0.942 0.688
H6 H 0.500 0.500 0.000
H7 H 0.558 0.058 0.312
H8 H 0.745 0.245 0.688
H9 H 0.755 0.442 0.500
H10 H 0.942 0.255 0.500
Pt1 Pt 0.250 0.750 0.500
Pt2 Pt 0.750 0.250 0.500
```

Values from the calculation:
ρ in g/cm³: 4.55
Excess energy over the best structure of this formula in the dataset in kJ/mol of atoms: 24.5
Space-group type: I4/mcm, No. 140

A geometry-optimized LaReBr2 structure, computed with PBE.

```
data_LaReBr2
_space_group_name_H-M_alt 'P 1'
_space_group_IT_number 1
_cell_length_a 7.653
_cell_length_b 7.653
_cell_length_c 4.733
_cell_angle_alpha 91.62
_cell_angle_beta 91.62
_cell_angle_gamma 27.58
loop_
_space_group_symop_operation_xyz
'x,y,z'
loop_
_atom_site_label
_atom_site_type_symbol
_atom_site_fract_x
_atom_site_fract_y
_atom_site_fract_z
La1 La 0.000 0.000 0.000
Re1 Re 0.500 0.500 0.500
Br1 Br 0.349 0.349 0.246
Br2 Br 0.651 0.651 0.754
```

Values from the calculation:
ρ in g/cm³: 6.28
E_form (uncorrected) in eV per atom: -0.257
Excess energy over the best structure of this formula in the dataset in kJ/mol of atoms: 1.6
Space-group type: C2/m, No. 12

A geometry-optimized Cs2CdBr structure, computed with PBE.

```
data_Cs2CdBr
_space_group_name_H-M_alt 'P 1'
_space_group_IT_number 1
_cell_length_a 6.535
_cell_length_b 6.535
_cell_length_c 6.535
_cell_angle_alpha 60.00
_cell_angle_beta 60.00
_cell_angle_gamma 60.00
loop_
_space_group_symop_operation_xyz
'x,y,z'
loop_
_atom_site_label
_atom_site_type_symbol
_atom_site_fract_x
_atom_site_fract_y
_atom_site_fract_z
Cs1 Cs 0.250 0.250 0.250
Cs2 Cs 0.750 0.750 0.750
Cd1 Cd 0.000 0.000 0.000
Br1 Br 0.500 0.500 0.500
```

Values from the calculation:
ρ in g/cm³: 3.86
E_form (uncorrected) in eV per atom: -0.689
Excess energy over the best structure of this formula in the dataset in kJ/mol of atoms: 20.0
Space-group type: Fm-3m, No. 225

A geometry-optimized Nb6In2Ga structure, computed with PBE.

```
data_Nb6In2Ga
_space_group_name_H-M_alt 'P 1'
_space_group_IT_number 1
_cell_length_a 8.282
_cell_length_b 8.282
_cell_length_c 2.867
_cell_angle_alpha 94.64
_cell_angle_beta 94.64
_cell_angle_gamma 60.28
loop_
_space_group_symop_operation_xyz
'x,y,z'
loop_
_atom_site_label
_atom_site_type_symbol
_atom_site_fract_x
_atom_site_fract_y
_atom_site_fract_z
Nb1 Nb 0.171 0.500 0.116
Nb2 Nb 0.176 0.824 0.000
Nb3 Nb 0.500 0.171 0.116
Nb4 Nb 0.500 0.829 0.884
Nb5 Nb 0.824 0.176 0.000
Nb6 Nb 0.829 0.500 0.884
In1 In 0.167 0.167 0.503
In2 In 0.833 0.833 0.497
Ga1 Ga 0.500 0.500 0.500
```

Values from the calculation:
ρ in g/cm³: 8.37
Space-group type: C2/m, No. 12
E_form in eV/atom: 0.07

> ρ of number 2 (Co2MoHRu)?

10.02 g/cm³

> Which formula does entry 6 have?

Mg2TlCu